The following is a PBE-GGA calculation of a relaxed structure of NpBePS, from Alexandria.

Lattice parameters (Å, degrees): 4.1081 4.1081 7.9288 90.00 90.00 90.00
Last column: nearest neighbours and their distance in Å.
Element x y z (fractional)
1 Np 0.5000 0.0000 0.7198  4 S 2.69
2 Np 0.0000 0.5000 0.2802  4 S 2.69
3 S 0.0000 0.0000 0.5000  4 Np 2.69, 4 S 2.90
4 Be 0.0000 0.0000 0.0000  4 P 2.28
5 Be 0.5000 0.5000 0.0000  4 P 2.28
6 S 0.5000 0.5000 0.5000  4 Np 2.69, 4 S 2.90
7 P 0.5000 0.0000 0.1247  4 Be 2.28
8 P 0.0000 0.5000 0.8753  4 Be 2.28

Computed properties:
total DFT energy (no corrections): -7.18 eV/atom
energy relative to the elements, uncorrected: -0.63 eV per atom